(1)
Below is Np4GeS3 after structural relaxation, with properties calculated at the PBE level.

Output
ΔE_f (raw): -1008 meV/atom
N(E_F): 59.39 states/eV/cell
calculated density: 10457 kg/m3
space group: P2/c, No. 13

Cell: 6.900 6.846 7.971 Å, 90.00 90.00 109.62°
Positions (direct):
Np  0.506  0.254  0.381
Np  0.501  0.740  0.130
S  0.750  0.500  0.625
Np  0.494  0.746  0.619
Np  0.999  0.260  0.130
Ge  0.250  0.000  0.126
Ge  0.750  0.000  0.874
S  0.750  0.000  0.375
S  0.250  0.500  0.375
S  0.250  0.000  0.625
Np  0.001  0.740  0.870
S  0.250  0.500  0.874
S  0.750  0.500  0.126
Np  0.994  0.746  0.381
Np  0.499  0.260  0.870
Np  0.006  0.254  0.619

---

(2)
Below is NpGe2S6 after structural relaxation, with properties calculated at the PBE level.

Output
ΔE_f (raw): -525 meV/atom
N(E_F): 18.70 states/eV/cell
calculated density: 4195 kg/m3
space group: C2/c, No. 15

Cell: 6.437 8.474 8.474 Å, 85.38 83.37 83.37°
Positions (direct):
S  0.368  0.046  0.191
Np  0.250  0.114  0.886
Ge  0.320  0.231  0.379
S  0.132  0.809  0.954
Np  0.750  0.886  0.114
S  0.625  0.291  0.452
S  0.632  0.954  0.809
Ge  0.180  0.621  0.769
S  0.125  0.452  0.291
S  0.375  0.709  0.548
S  0.875  0.548  0.709
S  0.152  0.122  0.597
Ge  0.820  0.379  0.231
S  0.868  0.191  0.046
S  0.348  0.403  0.878
S  0.652  0.597  0.122
Ge  0.680  0.769  0.621
S  0.848  0.878  0.403

---

(3)
Below is NpGe2S8 after structural relaxation, with properties calculated at the PBE level.

Output
ΔE_f (raw): -382 meV/atom
N(E_F): 7.05 states/eV/cell
calculated density: 3286 kg/m3
space group: C2/m, No. 12

Cell: 6.084 7.343 7.343 Å, 98.04 94.23 94.23°
Positions (direct):
Ge  0.553  0.781  0.781
S  0.653  0.557  0.557
Ge  0.447  0.219  0.219
S  0.347  0.443  0.443
S  0.810  0.234  0.234
Np  0.000  0.000  0.000
S  0.272  0.954  0.271
S  0.190  0.766  0.766
S  0.728  0.046  0.729
S  0.728  0.729  0.046
S  0.272  0.271  0.954

---

(4)
Below is Sr2NpGeS5 after structural relaxation, with properties calculated at the PBE level.

Output
ΔE_f (raw): -1369 meV/atom
N(E_F): 17.81 states/eV/cell
calculated density: 4612 kg/m3
space group: Cmc2_1, No. 36

Cell: 4.138 8.862 13.030 Å, 90.00 90.00 103.50°
Positions (direct):
Ge  0.548  0.096  0.947
S  0.628  0.257  0.490
Np  0.780  0.560  0.529
S  0.311  0.622  0.397
S  0.930  0.861  0.562
S  0.731  0.462  0.168
Sr  0.092  0.183  0.660
S  0.070  0.139  0.062
Sr  0.908  0.817  0.160
S  0.269  0.538  0.668
Sr  0.131  0.261  0.305
S  0.372  0.743  0.990
S  0.497  0.994  0.765
S  0.689  0.378  0.897
Sr  0.869  0.739  0.805
S  0.503  0.006  0.265
Ge  0.452  0.904  0.447
Np  0.220  0.440  0.029

---

(5)
Below is NpGeSb2 after structural relaxation, with properties calculated at the PBE level.

Output
ΔE_f (raw): 470 meV/atom
N(E_F): 5.58 states/eV/cell
calculated density: 8971 kg/m3
space group: R-3m, No. 166

Cell: 3.162 3.162 11.963 Å, 82.40 82.40 60.00°
Positions (direct):
Sb  0.090  0.090  0.730
Ge  0.500  0.500  0.500
Np  0.000  0.000  0.000
Sb  0.910  0.910  0.270

---

(6)
Below is NpGeSb2 after structural relaxation, with properties calculated at the PBE level.

Output
ΔE_f (raw): -81 meV/atom
N(E_F): 7.01 states/eV/cell
calculated density: 9373 kg/m3
space group: P4/mmm, No. 123

Cell: 4.027 4.027 6.044 Å, 90.00 90.00 90.00°
Positions (direct):
Sb  0.000  0.000  0.245
Ge  0.500  0.500  0.000
Sb  0.000  0.000  0.755
Np  0.500  0.500  0.500